Entry from the Alexandria database: a relaxed LiTaTi2N4 crystal (PBE).

a = 4.2340 Å, b = 4.2340 Å, c = 8.6006 Å
α = 90.00°, β = 90.00°, γ = 90.00°
Last column: nearest neighbours and their distance in Å.
Space group I4/mmm (No. 139)
Symmetry-distinct sites (fractional):
Li 0.0000 0.0000 0.0000 (multiplicity 2)  6 N 2.12-2.16
Ta 0.0000 0.0000 0.5000 (multiplicity 2)  6 N 2.12-2.14
Ti 0.0000 0.5000 0.2500 (multiplicity 4)  6 N 2.12-2.15
N 0.0000 0.0000 0.2514 (multiplicity 4)  4 Ti 2.12, 1 Ta 2.14, 1 Li 2.16
N 0.0000 0.5000 0.0000 (multiplicity 4)  2 Ta 2.12, 2 Li 2.12, 2 Ti 2.15

Properties
V	9.636	Å³/atom
N(E_F)	0.275	states/eV per atom
energy relative to the elements, uncorrected	-1.4089	eV per atom
total magnetic moment	0.00	Bohr magnetons per cell

=====

Entry from the Alexandria database: a relaxed Li2TaTiN4 crystal (PBE).

a = 6.0761 Å, b = 6.1807 Å, c = 8.6567 Å
α = 90.00°, β = 90.00°, γ = 90.00°
Last column: nearest neighbours and their distance in Å.
Space group Imma (No. 74)
Symmetry-distinct sites (fractional):
Li 0.0000 0.0000 0.0000 (multiplicity 4)  6 N 2.24-2.26
Li 0.2500 0.2500 0.2500 (multiplicity 4)  6 N 2.25-2.27
Ta 0.0000 0.0000 0.5000 (multiplicity 4)  6 N 2.08-2.10
Ti 0.2500 0.2500 0.7500 (multiplicity 4)  6 N 2.07-2.09
N 0.0000 0.0227 0.7400 (multiplicity 8)  2 Ti 2.07, 1 Ta 2.08, 3 Li 2.26-2.27
N 0.2326 0.2500 0.5092 (multiplicity 8)  1 Ti 2.09, 2 Ta 2.10, 3 Li 2.24-2.25

Properties
V	10.159	Å³/atom
N(E_F)	0.222	states/eV per atom
energy relative to the elements, uncorrected	-0.9529	eV per atom
total magnetic moment	0.00	Bohr magnetons per cell

=====

Entry from the Alexandria database: a relaxed Li2TaTi3N6 crystal (PBE).

a = 5.2077 Å, b = 8.9992 Å, c = 5.2342 Å
α = 90.00°, β = 109.25°, γ = 90.00°
Last column: nearest neighbours and their distance in Å.
Space group C2/m (No. 12)
Symmetry-distinct sites (fractional):
Li 0.0000 0.1648 0.0000 (multiplicity 4)  6 N 2.18-2.21
Ta 0.0000 0.5000 0.0000 (multiplicity 2)  6 N 2.11-2.12
Ti 0.0000 0.0000 0.5000 (multiplicity 2)  6 N 2.07-2.15
Ti 0.0000 0.3289 0.5000 (multiplicity 4)  6 N 2.06-2.11
N 0.2330 0.5000 0.7381 (multiplicity 4)  3 Ti 2.10-2.15, 1 Ta 2.11, 2 Li 2.18
N 0.2485 0.3392 0.2640 (multiplicity 8)  3 Ti 2.06-2.11, 1 Ta 2.12, 2 Li 2.20-2.21

Properties
V	9.649	Å³/atom
N(E_F)	0.205	states/eV per atom
energy relative to the elements, uncorrected	-1.3597	eV per atom
total magnetic moment	0.00	Bohr magnetons per cell

=====

Entry from the Alexandria database: a relaxed LiTa3Ti4N8 crystal (PBE).

a = 6.0861 Å, b = 6.0861 Å, c = 14.9298 Å
α = 90.00°, β = 90.00°, γ = 120.00°
Last column: nearest neighbours and their distance in Å.
Space group R-3m (No. 166, hexagonal axes)
Symmetry-distinct sites (fractional):
Li 0.0000 0.0000 0.0000 (multiplicity 3)  6 N 2.16
Ta 0.0000 0.5000 0.0000 (multiplicity 9)  6 N 2.16-2.18
Ti 0.0000 0.0000 0.5000 (multiplicity 3)  6 N 2.14
Ti 0.0000 0.5000 0.5000 (multiplicity 9)  6 N 2.13-2.14
N 0.0000 0.0000 0.2472 (multiplicity 6)  3 Ti 2.13, 3 Ta 2.18
N 0.0003 0.5002 0.2488 (multiplicity 18)  3 Ti 2.14, 2 Ta 2.16, 1 Li 2.16

Properties
V	9.978	Å³/atom
N(E_F)	0.687	states/eV per atom
energy relative to the elements, uncorrected	-1.3855	eV per atom
total magnetic moment	0.00	Bohr magnetons per cell

=====

Entry from the Alexandria database: a relaxed LiTm2TaN4 crystal (PBE).

a = 6.5554 Å, b = 9.4261 Å, c = 6.5800 Å
α = 90.00°, β = 90.00°, γ = 90.00°
Last column: nearest neighbours and their distance in Å.
Space group Fmm2 (No. 42)
Symmetry-distinct sites (fractional):
Li 0.0000 0.0000 0.0000 (multiplicity 4)  4 N 2.31-2.34
Tm 0.2500 0.2500 0.2441 (multiplicity 8)  6 N 2.31-2.37
Ta 0.0000 0.0000 0.4551 (multiplicity 4)  4 N 1.97-2.09
N 0.0000 0.2191 0.5002 (multiplicity 8)  1 Ta 2.09, 2 Tm 2.31
N 0.2317 0.0000 0.2654 (multiplicity 8)  1 Ta 1.97

Properties
V	12.706	Å³/atom
energy relative to the elements, uncorrected	-1.4326	eV per atom
total magnetic moment	0.00	Bohr magnetons per cell

=====

Entry from the Alexandria database: a relaxed LiTmTa4N8 crystal (PBE).

a = 6.3081 Å, b = 6.3081 Å, c = 15.5015 Å
α = 90.00°, β = 90.00°, γ = 120.00°
Last column: nearest neighbours and their distance in Å.
Space group R3m (No. 160, hexagonal axes)
Symmetry-distinct sites (fractional):
Li 0.0000 0.0000 0.0000 (multiplicity 3)  6 N 2.19-2.32
Tm 0.0000 0.0000 0.3792 (multiplicity 3)  4 N 2.17-2.20
Ta 0.0000 0.0000 0.6217 (multiplicity 3)  4 N 1.95-2.10
Ta 0.1723 0.3446 0.8294 (multiplicity 9)  6 N 1.99-2.22
N 0.0000 0.0000 0.2374 (multiplicity 3)  3 Ta 2.11, 1 Tm 2.20
N 0.0000 0.0000 0.7573 (multiplicity 3)  4 Ta 2.10-2.19
N 0.0016 0.5008 0.2417 (multiplicity 9)  1 Ta 1.95
N 0.0371 0.5186 0.7621 (multiplicity 9)  2 Ta 1.99, 1 Tm 2.17, 1 Li 2.19

Properties
V	12.719	Å³/atom
energy relative to the elements, uncorrected	-1.0412	eV per atom
total magnetic moment	0.00	Bohr magnetons per cell

=====

Entry from the Alexandria database: a relaxed LiUTaN3 crystal (PBE).

a = 6.6443 Å, b = 3.1587 Å, c = 6.8095 Å
α = 90.00°, β = 104.44°, γ = 90.00°
Last column: nearest neighbours and their distance in Å.
Space group P2_1/m (No. 11)
Symmetry-distinct sites (fractional):
Li 0.0818 0.2500 0.0848 (multiplicity 2)  4 N 1.88-1.96, 2 Li 2.09
U 0.1943 0.2500 0.7211 (multiplicity 2)  7 N 2.34-2.55
Ta 0.3330 0.7500 0.3202 (multiplicity 2)  6 N 2.03-2.27
N 0.1156 0.2500 0.3669 (multiplicity 2)  1 Li 1.88
N 0.2214 0.7500 0.0137 (multiplicity 2)  3 Li 1.95-1.96, 1 Ta 2.03
N 0.4390 0.7500 0.6634 (multiplicity 2)  3 Ta 2.17-2.27, 2 U 2.37

Properties
V	11.533	Å³/atom
N(E_F)	0.679	states/eV per atom
energy relative to the elements, uncorrected	-0.9805	eV per atom
total magnetic moment	3.98	Bohr magnetons per cell

=====

Entry from the Alexandria database: a relaxed Li4U3TaN8 crystal (PBE).

a = 6.7367 Å, b = 6.7367 Å, c = 15.3288 Å
α = 90.00°, β = 90.00°, γ = 120.00°
Last column: nearest neighbours and their distance in Å.
Space group R-3m (No. 166, hexagonal axes)
Symmetry-distinct sites (fractional):
Li 0.0000 0.0000 0.0000 (multiplicity 3)  6 N 2.50
Li 0.0000 0.5000 0.0000 (multiplicity 9)  6 N 2.42-2.43
U 0.0000 0.5000 0.5000 (multiplicity 9)  6 N 2.23-2.25
Ta 0.0000 0.0000 0.5000 (multiplicity 3)  6 N 2.16
N 0.0000 0.0000 0.2380 (multiplicity 6)  3 U 2.23, 3 Li 2.43
N 0.0121 0.5060 0.2369 (multiplicity 18)  1 Ta 2.16, 2 U 2.25, 2 Li 2.42

Properties
V	12.553	Å³/atom
N(E_F)	0.403	states/eV per atom
energy relative to the elements, uncorrected	-1.0649	eV per atom
total magnetic moment	9.30	Bohr magnetons per cell

=====

Entry from the Alexandria database: a relaxed Li2UTaN4 crystal (PBE).

a = 3.3501 Å, b = 14.9372 Å, c = 8.1639 Å
α = 90.00°, β = 90.00°, γ = 90.00°
Last column: nearest neighbours and their distance in Å.
Space group Cmcm (No. 63)
Symmetry-distinct sites (fractional):
Li 0.0000 0.0780 0.0718 (multiplicity 8)  2 N 1.87-2.00
U 0.0000 0.4183 0.2500 (multiplicity 4)  6 N 2.37-2.38
Ta 0.0000 0.2631 0.7500 (multiplicity 4)  4 N 1.95-1.96
N 0.0000 0.1596 0.6021 (multiplicity 8)  1 Li 1.87, 1 Ta 1.96
N 0.0000 0.1695 0.2500 (multiplicity 4)  2 Ta 1.95, 2 Li 2.00
N 0.0000 0.5000 0.0000 (multiplicity 4)  4 Li 2.12

Properties
V	12.767	Å³/atom
N(E_F)	0.428	states/eV per atom
energy relative to the elements, uncorrected	-0.6275	eV per atom
total magnetic moment	4.34	Bohr magnetons per cell

=====

Entry from the Alexandria database: a relaxed LiU2TaN4 crystal (PBE).

a = 5.6200 Å, b = 3.2792 Å, c = 5.7307 Å
α = 90.00°, β = 110.21°, γ = 90.00°
Last column: nearest neighbours and their distance in Å.
Space group P2/m (No. 10)
Symmetry-distinct sites (fractional):
Li 0.0000 0.0000 0.0000 (multiplicity 1)  6 N 2.28-2.35
U 0.5000 0.0000 0.5000 (multiplicity 1)  6 N 2.27-2.38
U 0.5000 0.5000 0.0000 (multiplicity 1)  6 N 2.39-2.44
Ta 0.0000 0.5000 0.5000 (multiplicity 1)  6 N 2.22-2.23
N 0.2271 0.0000 0.7386 (multiplicity 2)  2 Ta 2.23, 1 Li 2.28, 3 U 2.38-2.39
N 0.2458 0.5000 0.2694 (multiplicity 2)  1 Ta 2.22, 3 U 2.27-2.44, 2 Li 2.35

Properties
V	12.388	Å³/atom
N(E_F)	1.081	states/eV per atom
energy relative to the elements, uncorrected	-1.1180	eV per atom
total magnetic moment	1.99	Bohr magnetons per cell